Here is a relaxed CdPtN2 crystal from the Alexandria database. Energies are from PBE.

## Properties
Symmetry: I-42d, No. 122
Formation energy from raw total energies, eV per atom: 0.962
VASP energy, eV/atom: -4.9396

a = 4.734 Å, b = 4.734 Å, c = 6.331 Å
α = 68.05°, β = 68.05°, γ = 90.00°
Fractional coordinates of all 8 atoms:
N  0.074  0.625  0.250
N  0.375  0.324  0.750
N  0.875  0.926  0.750
Pt  0.000  0.000  0.000
N  0.676  0.125  0.250
Cd  0.500  0.500  0.000
Pt  0.750  0.250  0.500
Cd  0.250  0.750  0.500